Entry from the Alexandria database: a geometry-optimized K3La2FeO6 structure (GGA+U).

Cell: 6.092 6.092 6.548 Å, 98.75 98.75 120.29°
Atoms (fractional coordinates):
O 0.229 0.229 0.824
O 0.062 0.363 0.188
O 0.938 0.637 0.812
O 0.637 0.938 0.812
O 0.771 0.771 0.176
O 0.363 0.062 0.188
K 0.157 0.843 0.500
K 0.500 0.500 0.500
K 0.843 0.157 0.500
La 0.332 0.668 0.000
La 0.668 0.332 0.000
Fe 0.000 0.000 0.000

Uncorrected energy in eV/atom: -6.060